No. 1
Here is a relaxed SrTeRu2 crystal from Alexandria. Energies are from PBE-GGA.

Output
E_tot (eV/atom): -5.267
Raw formation energy (eV per atom): 0.58

Structure (POSCAR):
```
SrTeRu2
1.0
4.932 0.000 0.000
2.466 4.271 0.000
2.466 1.424 4.027
Sr Te Ru
1 1 2
Direct
0.500 0.500 0.500
0.750 0.750 0.750
0.000 0.000 0.000
0.250 0.250 0.250
```

=====

No. 2
Here is a relaxed LiTcPt crystal from Alexandria. Energies are from PBE-GGA.

Output
E_tot (eV/atom): -6.056
Formation enthalpy at 0 K (kJ/mol of formula units): 15

Structure (POSCAR):
```
LiTcPt
1.0
-2.888 -0.431 -3.385
-0.466 -2.510 3.669
-1.509 1.822 1.055
Li Pt Tc
1 1 1
Direct
0.667 0.333 0.500
0.333 0.667 0.000
0.000 0.000 0.000
```